The following is a GGA-PBEsol calculation of an optimized crystal structure of La2CuTeO, from the Alexandria database.

Cell lengths 4.8318, 4.8318, 5.0279 Å; angles 90.00, 90.00, 90.00 degrees
Closest atoms and distances in Å follow each position.
Space group P4/mmm (No. 123)
Asymmetric unit:
La1 0.0000 0.5000 0.0000 [2 per cell]  2 O 2.42
Cu1 0.0000 0.0000 0.5000 [1 per cell]  4 Te 3.42, 8 La 3.49
Te1 0.5000 0.5000 0.5000 [1 per cell]  2 O 2.51
O1 0.5000 0.5000 0.0000 [1 per cell]  4 La 2.42, 2 Te 2.51

Properties
**Total energy**: -28.7 eV for the cell shown